Er3Cd3InGaAu: relaxed, GGA-PBE.

```
9
Lattice="7.510 0.000 0.000 -3.755 6.504 0.000 0.000 0.000 4.251" Properties=species:S:1:pos:R:3 pbc="T T T"
Au 0.000 4.336 0.000
Cd 1.950 0.053 0.000
Cd 6.489 1.662 0.000
Cd 2.826 4.789 0.000
Er 1.570 2.788 2.125
Er -2.126 3.750 2.125
Er 0.556 6.470 2.125
Ga 3.755 2.168 0.000
In 0.000 0.000 2.125
```

Output
Space group   No. 174
Raw total energy   -29.8 eV per cell



LiZrAlNi: relaxed, GGA-PBE.

```
4
Lattice="2.554 -3.128 1.617 -0.154 -0.958 4.241 -1.739 -3.764 1.318" Properties=species:S:1:pos:R:3 pbc="T T T"
Al 0.331 -3.925 3.588
Li 0.496 -5.887 5.382
Ni 0.165 -1.962 1.794
Zr 0.000 0.000 0.000
```

Output
Space group   No. 216
Raw total energy   -21.7 eV per cell
E above lowest polymorph   1 meV/atom



ThBr: relaxed, GGA-PBE.

```
2
Lattice="2.182 -1.490 3.305 -2.017 -1.986 3.145 0.473 -4.174 0.515" Properties=species:S:1:pos:R:3 pbc="T T T"
Br 0.000 0.000 0.000
Th 0.319 -3.825 3.482
```

Output
Space group   No. 225
Raw total energy   -10.1 eV per cell



ReMoPd6: relaxed, GGA-PBE.

```
8
Lattice="5.518 0.000 0.000 -2.759 4.779 0.000 0.000 0.000 4.547" Properties=species:S:1:pos:R:3 pbc="T T T"
Mo 0.000 0.000 0.000
Pd 2.759 0.045 0.000
Pd 1.418 2.367 0.000
Pd 4.100 2.367 0.000
Pd 0.000 1.561 2.274
Pd -1.407 3.998 2.274
Pd 1.407 3.998 2.274
Re 2.759 1.593 2.274
```

Output
Space group   No. 187
DFT formation energy   0.10 eV/atom
Raw total energy   -53.5 eV per cell



Hf4CuSnC2: relaxed, GGA-PBE.

```
8
Lattice="3.299 0.000 0.000 -1.649 2.857 0.000 0.000 0.000 14.039" Properties=species:S:1:pos:R:3 pbc="T T T"
C 0.000 0.000 3.370
C 0.000 0.000 10.669
Cu 0.000 1.905 0.000
Hf 1.649 0.952 2.079
Hf 0.000 1.905 4.596
Hf 0.000 1.905 9.443
Hf 1.649 0.952 11.960
Sn 1.649 0.952 7.020
```

Output
Space group   No. 187
Raw total energy   -70.9 eV per cell



Co2HgGe: relaxed, GGA-PBE.

```
4
Lattice="-2.633 -2.756 2.218 -3.045 1.601 2.759 -4.278 -0.276 -1.037" Properties=species:S:1:pos:R:3 pbc="T T T"
Co 0.000 0.000 0.000
Co -7.467 -1.073 2.955
Ge -4.978 -0.716 1.970
Hg -2.489 -0.358 0.985
```

Output
Space group   No. 216
Raw total energy   -16.9 eV per cell



ReW12: relaxed, GGA-PBE.

```
13
Lattice="2.589 1.495 9.301 -2.589 1.495 9.301 0.000 -2.990 9.301" Properties=species:S:1:pos:R:3 pbc="T T T"
Re 0.000 0.000 0.000
W 1.284 0.741 7.137
W -1.284 0.741 7.137
W 0.000 0.000 4.658
W 0.000 0.000 9.734
W 0.000 1.483 20.767
W 0.000 0.000 12.681
W 0.000 0.000 15.223
W 0.000 -1.483 7.137
W 0.000 0.000 18.170
W 0.000 0.000 23.247
W 1.284 -0.741 20.767
W -1.284 -0.741 20.767
```

Output
Space group   No. 166
DFT formation energy   0.32 eV/atom
Raw total energy   -163.8 eV per cell



GdMgZn: relaxed, GGA-PBE.

```
12
Lattice="-5.896 -0.292 -1.996 -2.141 -5.647 -2.542 -0.229 -3.797 7.120" Properties=species:S:1:pos:R:3 pbc="T T T"
Gd -3.938 -0.649 -1.060
Gd -1.599 -2.908 1.896
Gd -6.784 -7.908 0.813
Gd -5.783 -5.269 2.633
Mg -2.233 -3.393 -1.407
Mg -5.280 -5.563 -0.670
Mg -2.628 -5.791 0.698
Mg -4.018 -7.969 2.726
Zn -0.935 -0.458 0.155
Zn -5.304 -3.283 -2.170
Zn -4.450 -3.157 0.568
Zn -2.822 -5.201 3.517
```

Output
Space group   No. 1
Raw total energy   -32.0 eV per cell